The following is a GGA-PBE calculation of a relaxed structure of Y6As2PbSe3, from Alexandria.

Structure (extended XYZ):
```
12
Lattice="4.163 0.000 0.000 0.000 8.362 0.322 -2.082 -2.388 8.765" Properties=species:S:1:pos:R:3 pbc="T T T"
Y 0.000 5.986 6.066
Y 2.082 4.008 3.180
Y 2.082 -0.012 3.021
Y 0.000 2.166 0.146
Y 2.082 3.808 8.941
Y 0.000 1.966 5.908
As 2.082 3.968 6.041
As 0.000 2.005 3.047
Pb 2.082 0.000 0.000
Se 2.082 4.181 0.161
Se 2.082 -0.192 5.915
Se 0.000 6.166 3.173
```

Computed properties:
The energy relative to the elements, uncorrected is -1516 meV/atom. Its calculated total energy is -6.7028 eV per atom. As for the space group: C2/m, No. 12.